1.
HoEr14Hf | PBE | optimized geometry

E_tot   -4.853 eV/atom
Crystal system   tetragonal
ΔE_f   47.4 meV/atom
Space group   No. 123

abc: 6.963 6.963 9.820
angles: 90.00 90.00 90.00
Fractional positions:
Ho (0.375, 0.625, 0.000)
Er (0.375, 0.625, 0.500)
Er (0.875, 0.125, 0.500)
Er (0.875, 0.625, 0.000)
Er (0.875, 0.625, 0.500)
Er (0.375, 0.125, 0.000)
Er (0.375, 0.125, 0.500)
Er (0.630, 0.880, 0.755)
Er (0.630, 0.880, 0.245)
Er (0.120, 0.370, 0.755)
Er (0.120, 0.370, 0.245)
Er (0.120, 0.880, 0.756)
Er (0.120, 0.880, 0.244)
Er (0.630, 0.370, 0.755)
Er (0.630, 0.370, 0.245)
Hf (0.875, 0.125, 0.000)

***

2.
Pu2PdAu | PBE | optimized geometry

E_tot   -9.663 eV/atom
Crystal system   tetragonal
ΔE_f   -379.7 meV/atom
Space group   No. 123

abc: 3.989 4.760 4.760
angles: 90.00 90.00 90.00
Fractional positions:
Au (0.500, 0.000, 0.000)
Pd (0.500, 0.500, 0.500)
Pu (0.000, 0.000, 0.500)
Pu (0.000, 0.500, 0.000)